Entry from Alexandria via LeMat-Bulk: a PBEsol-optimized structure of Ca2HfHgC (meta-GGA SCAN).

a b c (Å): 4.4008 4.9802 4.9802
angles (deg): 90.00 90.00 90.00
Sites, in units of the cell vectors:
1 Hf 0.5000 0.0000 0.0000
2 Ca 0.0000 0.0000 0.5000
3 Hg 0.5000 0.5000 0.5000
4 Ca 0.0000 0.5000 0.0000
5 C 0.0000 0.0000 0.0000

## Properties
N(E_F): 4.34 states/eV per cell
energy: -161.24 eV for the cell shown
formation enthalpy at 0 K: -0.1948 eV/atom

---

Entry from Alexandria via LeMat-Bulk: a PBEsol-optimized structure of LiCa2HgC (meta-GGA SCAN).

a b c (Å): 4.3683 5.0750 5.0750
angles (deg): 90.00 90.00 90.00
Sites, in units of the cell vectors:
1 Ca 0.0000 0.5000 0.0000
2 Ca 0.0000 0.0000 0.5000
3 Hg 0.5000 0.0000 0.0000
4 C 0.0000 0.0000 0.0000
5 Li 0.5000 0.5000 0.5000

## Properties
N(E_F): 2.44 states/eV per cell
energy: -98.91 eV for the cell shown
formation enthalpy at 0 K: 0.2153 eV/atom

---

Entry from Alexandria via LeMat-Bulk: a PBEsol-optimized structure of CaNb2HgC (meta-GGA SCAN).

a b c (Å): 4.3118 4.3118 4.8215
angles (deg): 90.00 90.00 90.00
Sites, in units of the cell vectors:
1 Ca 0.0000 0.0000 0.5000
2 Hg 0.5000 0.5000 0.5000
3 C 0.0000 0.0000 0.0000
4 Nb 0.5000 0.0000 0.0000
5 Nb 0.0000 0.5000 0.0000

## Properties
N(E_F): 4.20 states/eV per cell
energy: -154.20 eV for the cell shown
formation enthalpy at 0 K: -0.0025 eV/atom